Here is an optimized crystal structure of RhCl3 from Alexandria via LeMat-Bulk. Energies are from PBE.

a b c (Å): 8.7429 8.7429 8.7429
angles (deg): 23.50 23.50 23.50
Last column: nearest neighbours and their distance in Å.
Element x y z (fractional)
Rh (0.5000, 0.5000, 0.5000)  6 Cl 2.44
Cl (0.0000, 0.0000, 0.0000)  2 Cl 2.93
Cl (0.8849, 0.8849, 0.8849)  3 Rh 2.44
Cl (0.1151, 0.1151, 0.1151)  3 Rh 2.44

Its formation energy (no corrections) is -0.0121 eV per atom. The value obtained for the calculated volume is 93.3 Å³/cell. The calculation puts the density of states at the Fermi level at 8.12 states/eV/f.u. The crystal system is trigonal. The value obtained for the total magnetic moment is 0.00 μB per formula unit.